# 1
# LiTa2Cr, relaxed, DFT PBE-GGA
data_LiTa2Cr
_chemical_formula_sum 'Li1 Ta2 Cr1'
_space_group_name_H-M_alt 'P 1'
_space_group_IT_number 1
_space_group_name_Hall 'P 1'
_cell_length_a 2.688
_cell_length_b 4.540
_cell_length_c 5.179
_cell_angle_alpha 90.00
_cell_angle_beta 99.31
_cell_angle_gamma 90.00
loop_
_atom_site_label
_atom_site_type_symbol
_atom_site_fract_x
_atom_site_fract_y
_atom_site_fract_z
Li1 Li 0.000 0.000 0.000
Ta1 Ta 0.398 0.000 0.523
Ta2 Ta 0.698 0.500 0.241
Cr1 Cr 0.148 0.500 0.727
# E_form, meV/atom: 387
# D(E_F), states/eV per atom: 1.0372
# Energy above the lowest structure with this stoichiometry, eV/atom: 0.143

=====

# 2
# Zr2VPt, relaxed, DFT PBE-GGA
data_Zr2VPt
_chemical_formula_sum 'Zr2 V1 Pt1'
_space_group_name_H-M_alt 'P 1'
_space_group_IT_number 1
_space_group_name_Hall 'P 1'
_cell_length_a 3.329
_cell_length_b 3.329
_cell_length_c 6.638
_cell_angle_alpha 90.00
_cell_angle_beta 90.00
_cell_angle_gamma 90.00
loop_
_atom_site_label
_atom_site_type_symbol
_atom_site_fract_x
_atom_site_fract_y
_atom_site_fract_z
Zr1 Zr 0.000 0.000 0.245
Zr2 Zr 0.000 0.000 0.755
V1 V 0.500 0.500 0.000
Pt1 Pt 0.500 0.500 0.500
# E_form, meV/atom: -475
# D(E_F), states/eV per atom: 1.0301
# Energy above the lowest structure with this stoichiometry, eV/atom: 0.000

=====

# 3
# KPbN2F, relaxed, DFT PBE-GGA
data_KPbN2F
_chemical_formula_sum 'K1 Pb1 N2 F1'
_space_group_name_H-M_alt 'P 1'
_space_group_IT_number 1
_space_group_name_Hall 'P 1'
_cell_length_a 4.472
_cell_length_b 4.472
_cell_length_c 4.828
_cell_angle_alpha 90.00
_cell_angle_beta 90.00
_cell_angle_gamma 90.00
loop_
_atom_site_label
_atom_site_type_symbol
_atom_site_fract_x
_atom_site_fract_y
_atom_site_fract_z
K1 K 0.000 0.000 0.000
Pb1 Pb 0.500 0.500 0.500
N1 N 0.000 0.500 0.500
N2 N 0.500 0.000 0.500
F1 F 0.500 0.500 0.000
# D(E_F), states/eV per atom: 0.3132
# ΔE_f (raw), eV per formula unit: 1.49
# Energy above the lowest structure with this stoichiometry, eV/atom: 0.000